No. 1
# HoCu3P2

Crystalline HoCu3P2 at its relaxed geometry (PBE, Alexandria).

Cell lengths 7.530, 7.530, 7.184 Å; angles 116.23, 116.23, 29.75 degrees
Atoms (fractional coordinates):
Ho (0.145, 0.145, 0.054)
Ho (0.855, 0.855, 0.946)
Cu (0.053, 0.053, 0.390)
Cu (0.314, 0.314, 0.570)
Cu (0.400, 0.400, 0.326)
Cu (0.600, 0.600, 0.674)
Cu (0.686, 0.686, 0.430)
Cu (0.947, 0.947, 0.610)
P (0.203, 0.203, 0.717)
P (0.487, 0.487, 0.819)
P (0.513, 0.513, 0.181)
P (0.797, 0.797, 0.283)

Computed properties:
E_form: -551 meV per atom
Calculated volume: 180 Å³ per cell
Crystal system: monoclinic
Calculated density: 7.72 g cm⁻³
N(E_F): 2.53 states/eV per cell
Calculated total energy: -5.17 eV/atom

***

No. 2
# Ho3CuP2Rh9

Crystalline Ho3CuP2Rh9 at its relaxed geometry (PBE, Alexandria).

Cell lengths 6.087, 6.087, 8.389 Å; angles 90.00, 90.00, 120.00 degrees
Atoms (fractional coordinates):
Ho (0.000, 0.000, 0.000)
Ho (0.333, 0.667, 0.654)
Ho (0.667, 0.333, 0.346)
Cu (0.000, 0.000, 0.500)
P (0.333, 0.667, 0.167)
P (0.667, 0.333, 0.833)
Rh (0.000, 0.500, 0.000)
Rh (0.156, 0.311, 0.294)
Rh (0.156, 0.844, 0.294)
Rh (0.311, 0.156, 0.706)
Rh (0.500, 0.000, 0.000)
Rh (0.500, 0.500, 0.000)
Rh (0.689, 0.844, 0.294)
Rh (0.844, 0.156, 0.706)
Rh (0.844, 0.689, 0.706)

Computed properties:
E_form: -540 meV per atom
Calculated volume: 269 Å³ per cell
Crystal system: trigonal
Calculated density: 9.54 g cm⁻³
N(E_F): 9.00 states/eV per cell
Calculated total energy: -6.86 eV/atom